This record from Alexandria via LeMat-Bulk describes a relaxed structure of Mo2Pb2O7. The functional is PBE with a Hubbard U.

Unit cell a=6.7131 b=10.4667 c=5.8877 alpha=90.00 beta=101.52 gamma=90.00
Space group C2/m (No. 12)
Unique sites:
Mo1 0.2471 0.0000 0.1089
Pb1 0.0000 0.1861 0.5000
O1 0.0000 0.5000 0.0000
O2 0.0627 0.0000 0.8083
O3 0.2153 0.3505 0.7162

Computed properties:
- DOS at the Fermi energy (states/eV/cell) = 1.17
- offset from the most stable computed form (meV/atom) = 7